Entry 1:
A plane-wave DFT calculation with PBE was carried out for crystalline TbCe3Rh3 at its relaxed geometry.

Geometry as POSCAR:
```
TbCe3Rh3
1.0
4.5017 -5.1853 0.0000
4.5017 5.1853 0.0000
-0.0511 0.0000 6.9801
Tb Ce Rh
2 6 6
Direct
0.2484 0.2484 0.3806
0.7516 0.7516 0.6194
0.1371 0.1371 0.8912
0.2496 0.7504 0.5000
0.3142 0.6858 0.0000
0.6858 0.3142 0.0000
0.7504 0.2496 0.5000
0.8629 0.8629 0.1088
0.0154 0.4679 0.7308
0.4391 0.4391 0.7146
0.4679 0.0154 0.7308
0.5321 0.9846 0.2692
0.5609 0.5609 0.2854
0.9846 0.5321 0.2692
```

## Properties
E_form = -59 kJ/mol of atoms
DOS(E_F) = 1.607 states/eV/atom


Entry 2:
A plane-wave DFT calculation with PBE was carried out for crystalline LaNi3Os at its relaxed geometry.

Geometry as POSCAR:
```
LaNi3Os
1.0
4.5218 0.0000 0.0000
0.0000 4.5218 0.0000
0.0000 0.0000 4.5218
La Ni Os
1 3 1
Direct
0.0000 0.0000 0.0000
0.0000 0.0000 0.5000
0.0000 0.5000 0.0000
0.5000 0.0000 0.0000
0.5000 0.5000 0.5000
```

## Properties
energy above the lowest structure with this stoichiometry = 1456 meV per atom
E_form = 179 kJ/mol of atoms
DOS(E_F) = 1.346 states/eV/atom


Entry 3:
A plane-wave DFT calculation with PBE was carried out for crystalline Sm2SiPt6 at its relaxed geometry.

Geometry as POSCAR:
```
Sm2SiPt6
1.0
4.8979 -2.8435 0.0000
4.8979 2.8435 0.0000
-1.5463 0.0000 5.9507
Sm Si Pt
2 1 6
Direct
0.1432 0.1432 0.3528
0.8568 0.8568 0.6472
0.5000 0.5000 0.5000
0.1112 0.6215 0.1945
0.3789 0.3789 0.7978
0.3785 0.8888 0.8055
0.6215 0.1112 0.1945
0.6211 0.6211 0.2022
0.8888 0.3785 0.8055
```

## Properties
formation energy without anion corrections = -1.0394 eV per atom
DOS(E_F) = 0.406 states/eV/atom


Entry 4:
A plane-wave DFT calculation with PBE was carried out for crystalline ReMoRu4 at its relaxed geometry.

Geometry as POSCAR:
```
ReMoRu4
1.0
2.7567 0.0000 0.0000
0.0000 4.3730 0.0000
-1.3720 0.0000 7.1495
Re Mo Ru
1 1 4
Direct
0.0000 0.0000 0.0000
0.2196 0.5000 0.4451
0.3337 0.0000 0.6682
0.5514 0.5000 0.1056
0.6670 0.0000 0.3355
0.8883 0.5000 0.7798
```

## Properties
energy above the lowest structure with this stoichiometry = 0 meV per atom
E_form = -3 kJ/mol of atoms
DOS(E_F) = 1.043 states/eV/atom


Entry 5:
A plane-wave DFT calculation with PBE was carried out for crystalline FeAg2Ir at its relaxed geometry.

Geometry as POSCAR:
```
FeAg2Ir
1.0
-2.0370 2.0370 3.7620
2.0370 -2.0370 3.7620
2.0370 2.0370 -3.7620
Fe Ag Ir
1 2 1
Direct
0.0000 0.0000 0.0000
0.5000 0.5000 0.0000
0.7500 0.2500 0.5000
0.2500 0.7500 0.5000
```

## Properties
energy above the lowest structure with this stoichiometry = 183 meV per atom
E_form = 37 kJ/mol of atoms
DOS(E_F) = 0.595 states/eV/atom


Entry 6:
A plane-wave DFT calculation with PBE was carried out for crystalline Ge2SbMoSe at its relaxed geometry.

Geometry as POSCAR:
```
Ge2SbMoSe
1.0
5.2443 0.0000 0.0000
0.0000 5.2443 0.0000
0.0000 0.0000 5.3144
Ge Sb Mo Se
2 1 1 1
Direct
0.0000 0.5000 0.0000
0.5000 0.0000 0.0000
0.0000 0.0000 0.0000
0.5000 0.5000 0.5000
0.0000 0.0000 0.5000
```

## Properties
formation energy without anion corrections = 1.4463 eV per atom
DOS(E_F) = 0.927 states/eV/atom